1.
Compound: Pr2TeI2N
Source: the Alexandria database
Functional: GGA-PBE
Structure: optimized geometry

a b c (Å): 4.3478 11.7836 8.4049
angles (deg): 90.00 90.00 90.00
With the nearest neighbours (Å) after each atom.
Atoms (fractional coordinates):
Pr (0.0000, 0.0683, 0.0000)  1 N 2.46
Pr (0.0000, 0.9317, 0.5000)  1 N 2.46
Pr (0.5000, 0.1950, 0.3645)  2 N 2.43
Pr (0.5000, 0.8050, 0.8645)  2 N 2.43
Te (0.5000, 0.0693, 0.7034)  2 N 3.19, 6 Pr 3.21-3.40
Te (0.5000, 0.9307, 0.2034)  2 N 3.19, 6 Pr 3.21-3.40
I (0.0000, 0.3700, 0.5196)  2 Pr 3.27, 1 N 3.48
I (0.0000, 0.6300, 0.0196)  2 Pr 3.27, 1 N 3.48
I (0.5000, 0.2887, 0.0157)  3 Pr 3.13-3.39
I (0.5000, 0.7113, 0.5157)  3 Pr 3.13-3.39
N (0.0000, 0.1050, 0.3363)  3 Pr 2.43-2.46
N (0.0000, 0.8950, 0.8363)  3 Pr 2.43-2.46

Properties
Space group: Pmc2_1
VASP energy (eV/f.u.): -30.96
Size of the total moment (μB/atom): 0.15
ΔE_f (raw) (eV/f.u.): -6.8



2.
Compound: Pr2ThI2N2
Source: the Alexandria database
Functional: GGA-PBE
Structure: optimized geometry

a b c (Å): 10.0583 10.0583 10.0583
angles (deg): 153.28 153.28 38.15
With the nearest neighbours (Å) after each atom.
Atoms (fractional coordinates):
Pr (0.0812, 0.0812, 0.0000)  4 N 2.79, 1 Pr 3.09
Pr (0.9188, 0.9188, 0.0000)  4 N 2.79, 1 Pr 3.09
Th (0.5000, 0.5000, 0.0000)  4 N 2.32
I (0.3279, 0.3279, 0.0000)  1 Th 3.27
I (0.6721, 0.6721, 0.0000)  1 Th 3.27
N (0.0000, 0.5000, 0.5000)  2 Th 2.32
N (0.5000, 0.0000, 0.5000)  2 Th 2.32

Properties
Space group: I4/mmm
VASP energy (eV/f.u.): -44.55
Size of the total moment (μB/atom): 0.18
ΔE_f (raw) (eV/f.u.): -7.8



3.
Compound: Pr2YI2N2
Source: the Alexandria database
Functional: GGA-PBE
Structure: optimized geometry

a b c (Å): 10.2983 10.2983 10.2983
angles (deg): 154.68 154.68 36.11
With the nearest neighbours (Å) after each atom.
Atoms (fractional coordinates):
Pr (0.0768, 0.0768, 0.0000)  4 N 2.71, 1 Pr 3.01
Pr (0.9232, 0.9232, 0.0000)  4 N 2.71, 1 Pr 3.01
Y (0.5000, 0.5000, 0.0000)  4 N 2.26
I (0.3364, 0.3364, 0.0000)  1 Y 3.20
I (0.6636, 0.6636, 0.0000)  1 Y 3.20
N (0.0000, 0.5000, 0.5000)  2 Y 2.26
N (0.5000, 0.0000, 0.5000)  2 Y 2.26

Properties
Space group: I4/mmm
VASP energy (eV/f.u.): -44.43
Size of the total moment (μB/atom): 0.14
ΔE_f (raw) (eV/f.u.): -8.7



4.
Compound: PtI2N2
Source: the Alexandria database
Functional: GGA-PBE
Structure: optimized geometry

a b c (Å): 8.0000 8.0000 8.0000
angles (deg): 95.59 95.59 143.62
With the nearest neighbours (Å) after each atom.
Atoms (fractional coordinates):
Pt (0.0000, 0.0000, 0.0000)  2 Pt 2.50, 4 I 2.64
Pt (0.5000, 0.5000, 0.0000)  4 N 2.04
I (0.0000, 0.2453, 0.2453)  2 N 2.57, 1 Pt 2.64
I (0.0000, 0.7547, 0.7547)  2 N 2.57, 1 Pt 2.64
I (0.2453, 0.0000, 0.2453)  2 N 2.57, 1 Pt 2.64
I (0.7547, 0.0000, 0.7547)  2 N 2.57, 1 Pt 2.64
N (0.3102, 0.5000, 0.8102)  1 Pt 2.04
N (0.5000, 0.3102, 0.8102)  1 Pt 2.04
N (0.5000, 0.6898, 0.1898)  1 Pt 2.04
N (0.6898, 0.5000, 0.1898)  1 Pt 2.04

Properties
Space group: I4/mmm
VASP energy (eV/f.u.): -18.99
Offset from the most stable computed form (meV per atom): 0.0
Size of the total moment (μB/atom): 0.43
ΔE_f (raw) (eV/f.u.): 6.8



5.
Compound: PtI2N2
Source: the Alexandria database
Functional: GGA-PBE
Structure: optimized geometry

a b c (Å): 5.8675 5.8675 3.6843
angles (deg): 90.00 90.00 90.00
With the nearest neighbours (Å) after each atom.
Atoms (fractional coordinates):
Pt (0.0000, 0.0000, 0.0000)  2 N 1.84
I (0.0000, 0.5000, 0.0000)  2 Pt 2.93
I (0.5000, 0.0000, 0.0000)  2 Pt 2.93
N (0.0000, 0.0000, 0.5000)  2 Pt 1.84
N (0.5000, 0.5000, 0.5000)  8 I 3.46, 2 N 3.68

Properties
Space group: P4/mmm
VASP energy (eV/f.u.): -18.46
Offset from the most stable computed form (meV per atom): 106.3
Size of the total moment (μB/atom): 0.58
ΔE_f (raw) (eV/f.u.): 7.3



6.
Compound: PtI2N2
Source: the Alexandria database
Functional: GGA-PBE
Structure: optimized geometry

a b c (Å): 3.9396 3.9396 8.2499
angles (deg): 90.00 90.00 90.00
With the nearest neighbours (Å) after each atom.
Atoms (fractional coordinates):
Pt (0.0000, 0.0000, 0.0000)  4 I 2.79
I (0.5000, 0.5000, 0.0000)  4 Pt 2.79
I (0.5000, 0.5000, 0.5000)  4 N 1.97
N (0.0000, 0.5000, 0.5000)  2 I 1.97
N (0.5000, 0.0000, 0.5000)  2 I 1.97

Properties
Space group: P4/mmm
VASP energy (eV/f.u.): -16.46
Offset from the most stable computed form (meV per atom): 505.8
Size of the total moment (μB/atom): 0.00
ΔE_f (raw) (eV/f.u.): 9.3



7.
Compound: PtI2N2
Source: the Alexandria database
Functional: GGA-PBE
Structure: optimized geometry

a b c (Å): 4.1048 4.1048 8.3276
angles (deg): 90.00 90.00 90.00
With the nearest neighbours (Å) after each atom.
Atoms (fractional coordinates):
Pt (0.0000, 0.0000, 0.0000)  4 N 2.05
I (0.0000, 0.0000, 0.5000)  4 I 2.90
I (0.5000, 0.5000, 0.5000)  4 I 2.90
N (0.0000, 0.5000, 0.0000)  2 Pt 2.05
N (0.5000, 0.0000, 0.0000)  2 Pt 2.05

Properties
Space group: P4/mmm
VASP energy (eV/f.u.): -18.62
Offset from the most stable computed form (meV per atom): 74.2
Size of the total moment (μB/atom): 0.55
ΔE_f (raw) (eV/f.u.): 7.2



8.
Compound: PtI4N2
Source: the Alexandria database
Functional: GGA-PBE
Structure: optimized geometry

a b c (Å): 3.9126 7.1948 8.4483
angles (deg): 92.73 90.77 104.67
With the nearest neighbours (Å) after each atom.
Atoms (fractional coordinates):
Pt (0.0000, 0.0000, 0.0000)  4 I 2.63
I (0.1645, 0.3230, 0.3898)  2 N 2.09
I (0.4102, 0.7999, 0.1189)  2 Pt 2.63
I (0.5898, 0.2001, 0.8811)  2 Pt 2.63
I (0.8355, 0.6770, 0.6102)  2 N 2.09
N (0.2886, 0.5747, 0.6319)  2 I 2.09
N (0.7114, 0.4253, 0.3681)  2 I 2.09

Properties
Space group: P-1
VASP energy (eV/f.u.): -22.11
Size of the total moment (μB/atom): 0.00
ΔE_f (raw) (eV/f.u.): 6.8